# Sm4GeBiSe2 | Alexandria | PBE-GGA | relaxed
# - Energy relative to the elements, uncorrected: -1.3791 eV/atom
# - DFT total energy: -5.672 eV/atom
data_Sm4GeBiSe2
_symmetry_space_group_name_H-M 'P 1'
_symmetry_Int_Tables_number 1
_cell_length_a 4.304
_cell_length_b 7.406
_cell_length_c 7.516
_cell_angle_alpha 70.52
_cell_angle_beta 90.00
_cell_angle_gamma 90.00
loop_
_symmetry_equiv_pos_as_xyz
'x,y,z'
loop_
_atom_site_label
_atom_site_fract_x
_atom_site_fract_y
_atom_site_fract_z
_atom_site_occupancy
Sm1 0.000 0.754 0.733 1
Sm2 0.000 0.246 0.267 1
Sm3 0.500 0.745 0.264 1
Sm4 0.500 0.255 0.736 1
Ge1 0.000 0.500 0.500 1
Bi1 0.500 0.500 0.000 1
Se1 0.000 0.000 0.000 1
Se2 0.500 0.000 0.500 1